[1]
VASP calculation (GGA-PBE) on an optimized crystal structure of Y2TmIn2.

Summary:
ΔH_f (0 K): -0.389 eV per atom
energy relative to the lowest polymorph listed for this composition: 0 meV per atom
calculated total energy: -49.6 eV for the cell shown
magnetization: 0.0 μB per formula unit
symmetry: No. 11

Unit cell a=3.7490 b=5.3177 c=13.9217 alpha=90.00 beta=97.75 gamma=90.00
Atoms (fractional coordinates):
Y 0.0475 0.2500 0.0952
Y 0.2370 0.2500 0.4741
Y 0.7630 0.7500 0.5259
Y 0.9525 0.7500 0.9048
Tm 0.1493 0.7500 0.2995
Tm 0.8507 0.2500 0.7005
In 0.3571 0.7500 0.7129
In 0.4484 0.2500 0.8974
In 0.5516 0.7500 0.1026
In 0.6429 0.2500 0.2871

[2]
VASP calculation (GGA-PBE) on an optimized crystal structure of Y2Tm5In.

Summary:
ΔH_f (0 K): -0.082 eV per atom
calculated total energy: -38.7 eV for the cell shown
magnetization: 0.0 μB per formula unit
symmetry: No. 139

Unit cell a=6.9590 b=6.9590 c=6.9590 alpha=120.28 beta=120.28 gamma=89.51
Atoms (fractional coordinates):
Y 0.0000 0.5000 0.5000
Y 0.5000 0.0000 0.5000
Tm 0.0000 0.0000 0.0000
Tm 0.0000 0.0000 0.5000
Tm 0.0000 0.5000 0.0000
Tm 0.5000 0.0000 0.0000
Tm 0.5000 0.5000 0.5000
In 0.5000 0.5000 0.0000

[3]
VASP calculation (GGA-PBE) on an optimized crystal structure of YTm9In2.

Summary:
ΔH_f (0 K): -0.159 eV per atom
calculated total energy: -54.1 eV for the cell shown
magnetization: 0.0 μB per formula unit
symmetry: No. 123

Unit cell a=4.8151 b=4.8151 c=14.7326 alpha=90.00 beta=90.00 gamma=90.00
Atoms (fractional coordinates):
Y 0.0000 0.0000 0.0000
Tm 0.0000 0.5000 0.1730
Tm 0.0000 0.5000 0.5000
Tm 0.0000 0.5000 0.8270
Tm 0.5000 0.0000 0.1730
Tm 0.5000 0.0000 0.5000
Tm 0.5000 0.0000 0.8270
Tm 0.5000 0.5000 0.0000
Tm 0.5000 0.5000 0.3384
Tm 0.5000 0.5000 0.6616
In 0.0000 0.0000 0.3388
In 0.0000 0.0000 0.6612

[4]
VASP calculation (GGA-PBE) on an optimized crystal structure of Y3Tm12In.

Summary:
ΔH_f (0 K): -0.038 eV per atom
calculated total energy: -76.4 eV for the cell shown
magnetization: 0.0 μB per formula unit
symmetry: No. 123

Unit cell a=4.9014 b=4.9014 c=19.8620 alpha=90.00 beta=90.00 gamma=90.00
Atoms (fractional coordinates):
Y 0.0000 0.0000 0.0000
Y 0.0000 0.0000 0.2519
Y 0.0000 0.0000 0.7481
Tm 0.0000 0.5000 0.1268
Tm 0.0000 0.5000 0.3793
Tm 0.0000 0.5000 0.6207
Tm 0.0000 0.5000 0.8732
Tm 0.5000 0.0000 0.1268
Tm 0.5000 0.0000 0.3793
Tm 0.5000 0.0000 0.6207
Tm 0.5000 0.0000 0.8732
Tm 0.5000 0.5000 0.0000
Tm 0.5000 0.5000 0.2562
Tm 0.5000 0.5000 0.5000
Tm 0.5000 0.5000 0.7438
In 0.0000 0.0000 0.5000

[5]
VASP calculation (GGA-PBE) on an optimized crystal structure of YTm2In9.

Summary:
ΔH_f (0 K): -0.386 eV per atom
calculated total energy: -44.7 eV for the cell shown
magnetization: 0.0 μB per formula unit
symmetry: No. 123

Unit cell a=4.6254 b=4.6254 c=13.8621 alpha=90.00 beta=90.00 gamma=90.00
Atoms (fractional coordinates):
Y 0.0000 0.0000 0.0000
Tm 0.0000 0.0000 0.3338
Tm 0.0000 0.0000 0.6662
In 0.0000 0.5000 0.1684
In 0.0000 0.5000 0.5000
In 0.0000 0.5000 0.8316
In 0.5000 0.0000 0.1684
In 0.5000 0.0000 0.5000
In 0.5000 0.0000 0.8316
In 0.5000 0.5000 0.0000
In 0.5000 0.5000 0.3336
In 0.5000 0.5000 0.6664

[6]
VASP calculation (GGA-PBE) on an optimized crystal structure of Y2TmIn.

Summary:
ΔH_f (0 K): -0.268 eV per atom
energy relative to the lowest polymorph listed for this composition: 0 meV per atom
calculated total energy: -21.2 eV for the cell shown
magnetization: 0.2 μB per formula unit
symmetry: No. 123

Unit cell a=4.8469 b=4.8469 c=4.8151 alpha=90.00 beta=90.00 gamma=90.00
Atoms (fractional coordinates):
Y 0.0000 0.5000 0.0000
Y 0.5000 0.0000 0.0000
Tm 0.0000 0.0000 0.5000
In 0.5000 0.5000 0.5000

[7]
VASP calculation (GGA-PBE) on an optimized crystal structure of Y6TmIn2.

Summary:
ΔH_f (0 K): -0.222 eV per atom
calculated total energy: -50.7 eV for the cell shown
magnetization: 0.0 μB per formula unit
symmetry: No. 12

Unit cell a=6.6301 b=6.6301 c=11.9467 alpha=107.12 beta=107.12 gamma=32.76
Atoms (fractional coordinates):
Y 0.0184 0.0184 0.3407
Y 0.3099 0.3099 0.4125
Y 0.3184 0.3184 0.1223
Y 0.6816 0.6816 0.8777
Y 0.6901 0.6901 0.5875
Y 0.9816 0.9816 0.6593
Tm 0.0000 0.0000 0.0000
In 0.3567 0.3567 0.7995
In 0.6433 0.6433 0.2005

[8]
VASP calculation (GGA-PBE) on an optimized crystal structure of YTm3In3.

Summary:
ΔH_f (0 K): -0.201 eV per atom
energy relative to the lowest polymorph listed for this composition: 101 meV per atom
calculated total energy: -59.0 eV for the cell shown
magnetization: 0.0 μB per formula unit
symmetry: No. 176

Unit cell a=8.9514 b=8.9514 c=5.5205 alpha=90.00 beta=90.00 gamma=120.00
Atoms (fractional coordinates):
Y 0.3333 0.6667 0.2500
Y 0.6667 0.3333 0.7500
Tm 0.0963 0.4561 0.7500
Tm 0.3598 0.9037 0.7500
Tm 0.4561 0.3598 0.2500
Tm 0.5439 0.6402 0.7500
Tm 0.6402 0.0963 0.2500
Tm 0.9037 0.5439 0.2500
In 0.0479 0.2348 0.2500
In 0.1869 0.9521 0.2500
In 0.2348 0.1869 0.7500
In 0.7652 0.8131 0.2500
In 0.8131 0.0479 0.7500
In 0.9521 0.7652 0.7500

[9]
VASP calculation (GGA-PBE) on an optimized crystal structure of Y9Tm4In11.

Summary:
ΔH_f (0 K): -0.397 eV per atom
calculated total energy: -115.7 eV for the cell shown
magnetization: 0.0 μB per formula unit
symmetry: No. 65

Unit cell a=13.7419 b=13.7419 c=3.4648 alpha=90.00 beta=90.00 gamma=100.09
Atoms (fractional coordinates):
Y 0.0000 0.0000 0.0000
Y 0.1252 0.6448 0.0000
Y 0.2916 0.4682 0.0000
Y 0.3552 0.8748 0.0000
Y 0.4682 0.2916 0.0000
Y 0.5318 0.7084 0.0000
Y 0.6448 0.1252 0.0000
Y 0.7084 0.5318 0.0000
Y 0.8748 0.3552 0.0000
Tm 0.0706 0.2366 0.0000
Tm 0.2366 0.0706 0.0000
Tm 0.7634 0.9294 0.0000
Tm 0.9294 0.7634 0.0000
In 0.0804 0.4340 0.5000
In 0.1352 0.8648 0.5000
In 0.2666 0.2666 0.5000
In 0.3302 0.6698 0.5000
In 0.4340 0.0804 0.5000
In 0.5000 0.5000 0.5000
In 0.5660 0.9196 0.5000
In 0.6698 0.3302 0.5000
In 0.7334 0.7334 0.5000
In 0.8648 0.1352 0.5000
In 0.9196 0.5660 0.5000

[10]
VASP calculation (GGA-PBE) on an optimized crystal structure of YTm3In.

Summary:
ΔH_f (0 K): -0.100 eV per atom
energy relative to the lowest polymorph listed for this composition: 64 meV per atom
calculated total energy: -46.2 eV for the cell shown
magnetization: 0.0 μB per formula unit
symmetry: No. 59

Unit cell a=5.2678 b=8.3864 c=6.7909 alpha=90.00 beta=90.00 gamma=90.00
Atoms (fractional coordinates):
Y 0.2500 0.2500 0.2112
Y 0.7500 0.7500 0.7888
Tm 0.2500 0.0582 0.7290
Tm 0.2500 0.4418 0.7290
Tm 0.2500 0.7500 0.0609
Tm 0.7500 0.2500 0.9391
Tm 0.7500 0.5582 0.2710
Tm 0.7500 0.9418 0.2710
In 0.2500 0.7500 0.4912
In 0.7500 0.2500 0.5088

[11]
VASP calculation (GGA-PBE) on an optimized crystal structure of Y15Tm4In.

Summary:
ΔH_f (0 K): -0.029 eV per atom
calculated total energy: -118.2 eV for the cell shown
magnetization: 0.0 μB per formula unit
symmetry: No. 123

Unit cell a=4.9731 b=4.9731 c=25.2128 alpha=90.00 beta=90.00 gamma=90.00
Atoms (fractional coordinates):
Y 0.0000 0.0000 0.0000
Y 0.0000 0.0000 0.1960
Y 0.0000 0.0000 0.3989
Y 0.0000 0.0000 0.6011
Y 0.0000 0.0000 0.8040
Y 0.0000 0.5000 0.0969
Y 0.0000 0.5000 0.2985
Y 0.0000 0.5000 0.5000
Y 0.0000 0.5000 0.7015
Y 0.0000 0.5000 0.9031
Y 0.5000 0.0000 0.0969
Y 0.5000 0.0000 0.2985
Y 0.5000 0.0000 0.5000
Y 0.5000 0.0000 0.7015
Y 0.5000 0.0000 0.9031
Tm 0.5000 0.5000 0.1984
Tm 0.5000 0.5000 0.3992
Tm 0.5000 0.5000 0.6008
Tm 0.5000 0.5000 0.8016
In 0.5000 0.5000 0.0000

[12]
VASP calculation (GGA-PBE) on an optimized crystal structure of YTm15In4.

Summary:
ΔH_f (0 K): -0.195 eV per atom
calculated total energy: -88.4 eV for the cell shown
magnetization: 0.0 μB per formula unit
symmetry: No. 123

Unit cell a=4.7976 b=4.7976 c=24.3581 alpha=90.00 beta=90.00 gamma=90.00
Atoms (fractional coordinates):
Y 0.0000 0.0000 0.0000
Tm 0.0000 0.5000 0.1052
Tm 0.0000 0.5000 0.3036
Tm 0.0000 0.5000 0.5000
Tm 0.0000 0.5000 0.6964
Tm 0.0000 0.5000 0.8948
Tm 0.5000 0.0000 0.1052
Tm 0.5000 0.0000 0.3036
Tm 0.5000 0.0000 0.5000
Tm 0.5000 0.0000 0.6964
Tm 0.5000 0.0000 0.8948
Tm 0.5000 0.5000 0.0000
Tm 0.5000 0.5000 0.2055
Tm 0.5000 0.5000 0.4018
Tm 0.5000 0.5000 0.5982
Tm 0.5000 0.5000 0.7945
In 0.0000 0.0000 0.2061
In 0.0000 0.0000 0.4020
In 0.0000 0.0000 0.5980
In 0.0000 0.0000 0.7939

[13]
VASP calculation (GGA-PBE) on an optimized crystal structure of Y8Tm2In.

Summary:
ΔH_f (0 K): 0.061 eV per atom
calculated total energy: -62.7 eV for the cell shown
magnetization: 0.0 μB per formula unit
symmetry: No. 12

Unit cell a=8.2398 b=8.2398 c=5.3242 alpha=90.05 beta=90.05 gamma=103.63
Atoms (fractional coordinates):
Y 0.1687 0.1687 0.0000
Y 0.1995 0.4718 0.4995
Y 0.2484 0.7516 0.0000
Y 0.4718 0.1995 0.4995
Y 0.5282 0.8005 0.5005
Y 0.7516 0.2484 0.0000
Y 0.8005 0.5282 0.5005
Y 0.8313 0.8313 0.0000
Tm 0.1198 0.8802 0.5000
Tm 0.8802 0.1198 0.5000
In 0.5000 0.5000 0.0000

[14]
VASP calculation (GGA-PBE) on an optimized crystal structure of YTm6In.

Summary:
ΔH_f (0 K): -0.110 eV per atom
energy relative to the lowest polymorph listed for this composition: 0 meV per atom
calculated total energy: -36.9 eV for the cell shown
magnetization: 0.0 μB per formula unit
symmetry: No. 123

Unit cell a=4.8553 b=4.8553 c=9.8692 alpha=90.00 beta=90.00 gamma=90.00
Atoms (fractional coordinates):
Y 0.0000 0.0000 0.0000
Tm 0.0000 0.5000 0.2556
Tm 0.0000 0.5000 0.7444
Tm 0.5000 0.0000 0.2556
Tm 0.5000 0.0000 0.7444
Tm 0.5000 0.5000 0.0000
Tm 0.5000 0.5000 0.5000
In 0.0000 0.0000 0.5000

[15]
VASP calculation (GGA-PBE) on an optimized crystal structure of Y6TmIn3.

Summary:
ΔH_f (0 K): -0.154 eV per atom
calculated total energy: -106.0 eV for the cell shown
magnetization: 0.0 μB per formula unit
symmetry: No. 36

Unit cell a=9.3754 b=9.3754 c=7.5760 alpha=90.00 beta=90.00 gamma=110.70
Atoms (fractional coordinates):
Y 0.0432 0.9568 0.5000
Y 0.0784 0.4566 0.0071
Y 0.2367 0.3040 0.3218
Y 0.2979 0.7021 0.3591
Y 0.3040 0.2367 0.8218
Y 0.4566 0.0784 0.5071
Y 0.5434 0.9216 0.0071
Y 0.6960 0.7633 0.3218
Y 0.7021 0.2979 0.8591
Y 0.7633 0.6960 0.8218
Y 0.9216 0.5434 0.5071
Y 0.9568 0.0432 0.0000
Tm 0.1948 0.8052 0.7986
Tm 0.8052 0.1948 0.2986
In 0.0111 0.2770 0.6492
In 0.2770 0.0111 0.1492
In 0.4434 0.5566 0.0398
In 0.5566 0.4434 0.5398
In 0.7230 0.9889 0.6492
In 0.9889 0.7230 0.1492

[16]
VASP calculation (GGA-PBE) on an optimized crystal structure of Y5TmIn4.

Summary:
ΔH_f (0 K): -0.398 eV per atom
calculated total energy: -51.7 eV for the cell shown
magnetization: 0.0 μB per formula unit
symmetry: No. 123

Unit cell a=3.5889 b=3.5889 c=21.5025 alpha=90.00 beta=90.00 gamma=90.00
Atoms (fractional coordinates):
Y 0.0000 0.0000 0.0000
Y 0.0000 0.0000 0.1940
Y 0.0000 0.0000 0.3864
Y 0.0000 0.0000 0.6136
Y 0.0000 0.0000 0.8060
Tm 0.5000 0.5000 0.5000
In 0.5000 0.5000 0.0969
In 0.5000 0.5000 0.2905
In 0.5000 0.5000 0.7095
In 0.5000 0.5000 0.9031

[17]
VASP calculation (GGA-PBE) on an optimized crystal structure of YTm2In3.

Summary:
ΔH_f (0 K): -0.450 eV per atom
calculated total energy: -26.3 eV for the cell shown
magnetization: 0.0 μB per formula unit
symmetry: No. 123

Unit cell a=3.5323 b=3.5323 c=12.4648 alpha=90.00 beta=90.00 gamma=90.00
Atoms (fractional coordinates):
Y 0.0000 0.0000 0.0000
Tm 0.0000 0.0000 0.3349
Tm 0.0000 0.0000 0.6651
In 0.5000 0.5000 0.1697
In 0.5000 0.5000 0.5000
In 0.5000 0.5000 0.8303

[18]
VASP calculation (GGA-PBE) on an optimized crystal structure of Y5TmIn3.

Summary:
ΔH_f (0 K): -0.384 eV per atom
calculated total energy: -96.9 eV for the cell shown
magnetization: 0.5 μB per formula unit
symmetry: No. 193

Unit cell a=9.3416 b=9.3416 c=6.7312 alpha=90.00 beta=90.00 gamma=120.00
Atoms (fractional coordinates):
Y 0.0000 0.3305 0.2500
Y 0.0000 0.6695 0.7500
Y 0.3305 0.0000 0.2500
Y 0.3305 0.3305 0.7500
Y 0.3333 0.6667 0.0000
Y 0.3333 0.6667 0.5000
Y 0.6667 0.3333 0.0000
Y 0.6667 0.3333 0.5000
Y 0.6695 0.0000 0.7500
Y 0.6695 0.6695 0.2500
Tm 0.0000 0.0000 0.0000
Tm 0.0000 0.0000 0.5000
In 0.0000 0.3351 0.7500
In 0.0000 0.6649 0.2500
In 0.3351 0.0000 0.7500
In 0.3351 0.3351 0.2500
In 0.6649 0.0000 0.2500
In 0.6649 0.6649 0.7500

[19]
VASP calculation (GGA-PBE) on an optimized crystal structure of Y2TmIn.

Summary:
ΔH_f (0 K): -0.161 eV per atom
energy relative to the lowest polymorph listed for this composition: 107 meV per atom
calculated total energy: -20.8 eV for the cell shown
magnetization: 0.6 μB per formula unit
symmetry: No. 160

Unit cell a=11.0318 b=11.0318 c=11.0318 alpha=18.69 beta=18.69 gamma=18.69
Atoms (fractional coordinates):
Y 0.0000 0.0000 0.0000
Y 0.1754 0.1754 0.1754
Tm 0.7543 0.7543 0.7543
In 0.5879 0.5879 0.5879

[20]
VASP calculation (GGA-PBE) on an optimized crystal structure of Y2Tm3In2.

Summary:
ΔH_f (0 K): -0.135 eV per atom
energy relative to the lowest polymorph listed for this composition: 133 meV per atom
calculated total energy: -32.8 eV for the cell shown
magnetization: 0.3 μB per formula unit
symmetry: No. 65

Unit cell a=11.9204 b=11.9204 c=3.4253 alpha=90.00 beta=90.00 gamma=156.22
Atoms (fractional coordinates):
Y 0.2140 0.7860 0.0000
Y 0.7860 0.2140 0.0000
Tm 0.3575 0.6425 0.5000
Tm 0.5000 0.5000 0.5000
Tm 0.6425 0.3575 0.5000
In 0.0712 0.9288 0.0000
In 0.9288 0.0712 0.0000